[1]
LaZn2BiW after structural relaxation. Source: Alexandria via LeMat-Bulk, functional GGA-PBE.

Cell and atoms, written as POSCAR:
```
LaZn2BiW
1.0
-2.609 -4.434 0.691
0.236 -1.096 -6.143
4.483 -2.540 0.626
La Zn W Bi
1 2 1 1
Direct
0.000 0.500 0.000
0.500 0.000 0.000
0.000 0.000 0.500
0.500 0.500 0.500
0.000 0.000 0.000
```

DFT formation energy = 1.43 eV per atom
density of states at the Fermi level = 3.32 states/eV per cell
total magnetization = 0.8027 μB per atom

[2]
LaY2Bi after structural relaxation. Source: Alexandria via LeMat-Bulk, functional GGA-PBE.

Cell and atoms, written as POSCAR:
```
LaY2Bi
1.0
3.534 0.000 0.000
1.767 3.061 0.000
1.767 1.020 12.130
Bi Y La
1 2 1
Direct
0.500 0.500 0.500
0.094 0.094 0.717
0.906 0.906 0.283
0.000 0.000 0.000
```

DFT formation energy = 0.00 eV per atom
density of states at the Fermi level = 7.13 states/eV per cell
total magnetization = 0.0056 μB per atom

[3]
LaY3Bi4 after structural relaxation. Source: Alexandria via LeMat-Bulk, functional GGA-PBE.

Cell and atoms, written as POSCAR:
```
LaY3Bi4
1.0
4.546 -0.057 0.077
0.057 7.545 2.205
-0.127 0.440 7.847
La Y Bi
1 3 4
Direct
0.500 0.500 0.000
0.000 0.500 0.500
0.000 0.000 0.000
0.500 0.000 0.500
0.000 0.758 0.742
0.500 0.246 0.746
0.000 0.242 0.258
0.500 0.754 0.254
```

DFT formation energy = -0.93 eV per atom
density of states at the Fermi level = 1.18 states/eV per cell
total magnetization = 0.0000 μB per atom

[4]
LaYBi2 after structural relaxation. Source: Alexandria via LeMat-Bulk, functional GGA-PBE.

Cell and atoms, written as POSCAR:
```
LaYBi2
1.0
4.604 0.012 0.017
2.288 3.995 0.017
2.275 1.323 7.482
Y La Bi
1 1 2
Direct
0.000 0.000 0.000
0.500 0.500 0.500
0.254 0.254 0.238
0.746 0.746 0.762
```

DFT formation energy = -0.98 eV per atom
density of states at the Fermi level = 0.62 states/eV per cell
energy above the lowest structure with this stoichiometry = 0 meV per atom
total magnetization = 0.0000 μB per atom

[5]
La5Y3Bi8 after structural relaxation. Source: Alexandria via LeMat-Bulk, functional GGA-PBE.

Cell and atoms, written as POSCAR:
```
La5Y3Bi8
1.0
-8.681 -3.169 -0.497
-2.751 -4.814 -7.409
-1.668 -9.059 0.725
Bi Y La
8 3 5
Direct
0.754 0.754 0.738
0.750 0.242 0.258
0.242 0.750 0.258
0.750 0.750 0.258
0.250 0.250 0.742
0.250 0.758 0.742
0.758 0.250 0.742
0.246 0.246 0.262
0.000 0.500 0.500
0.500 0.000 0.500
0.000 0.000 0.500
0.500 0.000 0.000
0.000 0.000 0.000
0.500 0.500 0.500
0.000 0.500 0.000
0.500 0.500 0.000
```

DFT formation energy = -0.99 eV per atom
density of states at the Fermi level = 3.08 states/eV per cell
total magnetization = 0.0000 μB per atom

[6]
LaY2Bi after structural relaxation. Source: Alexandria via LeMat-Bulk, functional GGA-PBE.

Cell and atoms, written as POSCAR:
```
LaY2Bi
1.0
-2.580 2.189 2.237
-1.960 -3.390 1.057
4.575 -0.767 6.027
La Bi Y
1 1 2
Direct
0.500 0.500 0.000
0.500 0.500 0.500
0.000 0.000 0.720
0.000 0.000 0.280
```

DFT formation energy = -0.37 eV per atom
density of states at the Fermi level = 5.95 states/eV per cell
total magnetization = 0.0000 μB per atom

[7]
La5YBi4 after structural relaxation. Source: Alexandria via LeMat-Bulk, functional GGA-PBE.

Cell and atoms, written as POSCAR:
```
La5YBi4
1.0
-2.191 3.524 1.843
-4.069 1.577 -7.854
-4.946 -8.006 3.833
La Bi Y
5 4 1
Direct
0.165 0.822 0.330
0.174 0.347 0.349
0.500 0.500 0.000
0.835 0.178 0.670
0.826 0.653 0.651
0.666 0.083 0.332
0.006 0.247 0.011
0.994 0.753 0.989
0.334 0.917 0.668
0.500 0.000 0.000
```

DFT formation energy = -0.64 eV per atom
density of states at the Fermi level = 8.97 states/eV per cell
total magnetization = 0.0006 μB per atom

[8]
LaY5Bi4 after structural relaxation. Source: Alexandria via LeMat-Bulk, functional GGA-PBE.

Cell and atoms, written as POSCAR:
```
LaY5Bi4
1.0
-4.121 0.983 -1.480
-1.934 -8.385 -0.188
-0.276 2.845 9.462
Bi Y La
4 5 1
Direct
0.017 0.275 0.035
0.326 0.920 0.652
0.674 0.080 0.348
0.983 0.725 0.965
0.842 0.192 0.685
0.500 0.500 0.000
0.158 0.808 0.315
0.186 0.345 0.372
0.814 0.655 0.628
0.500 0.000 0.000
```

DFT formation energy = -0.53 eV per atom
density of states at the Fermi level = 6.84 states/eV per cell
total magnetization = 0.0000 μB per atom

[9]
LaY2Bi after structural relaxation. Source: Alexandria via LeMat-Bulk, functional GGA-PBE.

Cell and atoms, written as POSCAR:
```
LaY2Bi
1.0
-4.692 -4.632 6.363
6.389 2.085 6.228
-0.835 1.519 7.088
Bi Y La
2 4 2
Direct
0.000 0.000 0.000
0.750 0.250 0.500
0.667 0.125 0.250
0.875 0.917 0.750
0.083 0.625 0.250
0.375 0.333 0.750
0.500 0.500 0.000
0.250 0.750 0.500
```

DFT formation energy = -0.09 eV per atom
density of states at the Fermi level = 15.01 states/eV per cell
total magnetization = 0.0000 μB per atom

[10]
LaYBi3 after structural relaxation. Source: Alexandria via LeMat-Bulk, functional GGA-PBE.

Cell and atoms, written as POSCAR:
```
LaYBi3
1.0
-3.298 -0.371 4.770
3.001 -4.673 1.712
3.726 3.435 2.844
Y Bi La
1 3 1
Direct
0.000 0.000 0.000
0.000 0.000 0.500
0.000 0.500 0.000
0.500 0.000 0.000
0.500 0.500 0.500
```

DFT formation energy = -0.12 eV per atom
density of states at the Fermi level = 4.07 states/eV per cell
energy above the lowest structure with this stoichiometry = 0 meV per atom
total magnetization = 0.0000 μB per atom

[11]
LaY3Bi after structural relaxation. Source: Alexandria via LeMat-Bulk, functional GGA-PBE.

Cell and atoms, written as POSCAR:
```
LaY3Bi
1.0
-5.375 -0.126 -1.623
-0.326 -5.402 1.501
-1.595 1.531 5.162
Y Bi La
3 1 1
Direct
0.000 0.000 0.500
0.500 0.000 0.000
0.000 0.500 0.000
0.500 0.500 0.500
0.000 0.000 0.000
```

DFT formation energy = 0.67 eV per atom
density of states at the Fermi level = 6.24 states/eV per cell
energy above the lowest structure with this stoichiometry = 497 meV per atom
total magnetization = 0.0000 μB per atom

[12]
LaYBi3 after structural relaxation. Source: Alexandria via LeMat-Bulk, functional GGA-PBE.

Cell and atoms, written as POSCAR:
```
LaYBi3
1.0
-2.764 4.665 -2.595
-0.756 -3.235 -5.010
-5.285 -1.977 2.074
La Bi Y
1 3 1
Direct
0.000 0.000 0.000
0.000 0.000 0.500
0.500 0.000 0.000
0.000 0.500 0.000
0.500 0.500 0.500
```

DFT formation energy = 0.34 eV per atom
density of states at the Fermi level = 5.19 states/eV per cell
energy above the lowest structure with this stoichiometry = 454 meV per atom
total magnetization = 0.0000 μB per atom

[13]
La2YBi3 after structural relaxation. Source: Alexandria via LeMat-Bulk, functional GGA-PBE.

Cell and atoms, written as POSCAR:
```
La2YBi3
1.0
-4.572 0.781 0.110
-0.220 -0.363 -6.552
1.241 -7.031 3.637
Y Bi La
1 3 2
Direct
0.000 0.500 0.000
0.660 0.660 0.320
0.000 0.000 0.000
0.340 0.340 0.680
0.668 0.168 0.336
0.332 0.832 0.664
```

DFT formation energy = -0.99 eV per atom
density of states at the Fermi level = 0.94 states/eV per cell
energy above the lowest structure with this stoichiometry = 0 meV per atom
total magnetization = 0.0000 μB per atom

[14]
LaYBi2 after structural relaxation. Source: Alexandria via LeMat-Bulk, functional GGA-PBE.

Cell and atoms, written as POSCAR:
```
LaYBi2
1.0
8.617 0.000 0.000
0.000 8.617 0.000
4.309 4.309 3.607
Bi Y La
4 2 2
Direct
0.875 0.865 0.750
0.135 0.625 0.250
0.375 0.385 0.750
0.615 0.125 0.250
0.500 0.500 0.000
0.250 0.750 0.500
0.750 0.250 0.500
0.000 0.000 0.000
```

DFT formation energy = -0.69 eV per atom
density of states at the Fermi level = 1.19 states/eV per cell
energy above the lowest structure with this stoichiometry = 282 meV per atom
total magnetization = 0.0000 μB per atom

[15]
LaYBi2 after structural relaxation. Source: Alexandria via LeMat-Bulk, functional GGA-PBE.

Cell and atoms, written as POSCAR:
```
LaYBi2
1.0
2.425 -5.038 -0.556
2.829 -2.247 4.303
-2.096 -4.443 2.727
Bi Y La
2 1 1
Direct
0.250 0.250 0.250
0.750 0.750 0.750
0.000 0.000 0.000
0.500 0.500 0.500
```

DFT formation energy = -0.72 eV per atom
density of states at the Fermi level = 3.96 states/eV per cell
energy above the lowest structure with this stoichiometry = 253 meV per atom
total magnetization = 0.0000 μB per atom

[16]
LaY2Bi after structural relaxation. Source: Alexandria via LeMat-Bulk, functional GGA-PBE.

Cell and atoms, written as POSCAR:
```
LaY2Bi
1.0
4.094 0.000 0.000
2.047 3.545 0.000
2.047 1.182 9.763
Bi Y La
1 2 1
Direct
0.666 0.666 0.001
0.265 0.265 0.204
0.068 0.068 0.797
0.501 0.501 0.498
```

DFT formation energy = -0.21 eV per atom
density of states at the Fermi level = 3.90 states/eV per cell
total magnetization = 0.0502 μB per atom

[17]
LaY3Bi after structural relaxation. Source: Alexandria via LeMat-Bulk, functional GGA-PBE.

Cell and atoms, written as POSCAR:
```
LaY3Bi
1.0
5.862 0.000 0.000
0.000 5.862 0.000
0.000 0.000 5.862
Y Bi La
3 1 1
Direct
0.000 0.000 0.500
0.500 0.000 0.000
0.000 0.500 0.000
0.000 0.000 0.000
0.500 0.500 0.500
```

DFT formation energy = 0.17 eV per atom
density of states at the Fermi level = 7.58 states/eV per cell
energy above the lowest structure with this stoichiometry = 0 meV per atom
total magnetization = 0.5770 μB per atom

[18]
La2Y2Bi after structural relaxation. Source: Alexandria via LeMat-Bulk, functional GGA-PBE.

Cell and atoms, written as POSCAR:
```
La2Y2Bi
1.0
8.236 0.000 0.000
0.000 8.236 0.000
0.000 0.000 5.029
La Y Bi
4 4 2
Direct
0.656 0.844 0.500
0.344 0.156 0.500
0.844 0.344 0.500
0.156 0.656 0.500
0.854 0.646 0.000
0.146 0.354 0.000
0.646 0.146 0.000
0.354 0.854 0.000
0.000 0.000 0.000
0.500 0.500 0.000
```

DFT formation energy = -0.22 eV per atom
density of states at the Fermi level = 9.00 states/eV per cell
total magnetization = 0.0000 μB per atom

[19]
La4YBi5 after structural relaxation. Source: Alexandria via LeMat-Bulk, functional GGA-PBE.

Cell and atoms, written as POSCAR:
```
La4YBi5
1.0
5.947 0.000 2.869
2.974 7.370 1.434
-0.228 0.000 8.072
La Bi Y
4 5 1
Direct
0.403 0.398 0.797
0.801 0.797 0.602
0.201 0.203 0.398
0.599 0.602 0.203
0.903 0.392 0.805
0.295 0.805 0.608
0.100 0.608 0.195
0.707 0.195 0.392
0.501 0.000 0.000
0.001 0.000 0.000
```

DFT formation energy = -1.02 eV per atom
density of states at the Fermi level = 0.77 states/eV per cell
total magnetization = 0.0000 μB per atom

[20]
LaY2Bi after structural relaxation. Source: Alexandria via LeMat-Bulk, functional GGA-PBE.

Cell and atoms, written as POSCAR:
```
LaY2Bi
1.0
4.865 0.000 0.000
0.000 4.997 0.000
0.000 0.000 4.997
Y La Bi
2 1 1
Direct
0.000 0.500 0.000
0.000 0.000 0.500
0.500 0.500 0.500
0.500 0.000 0.000
```

DFT formation energy = -0.39 eV per atom
density of states at the Fermi level = 5.20 states/eV per cell
total magnetization = 0.0000 μB per atom